A plane-wave DFT calculation with PBE was carried out for ZnHS3 after structural relaxation.

a = 4.284 Å, b = 7.848 Å, c = 7.668 Å
α = 91.44°, β = 57.97°, γ = 98.81°
Fractional positions:
Zn  0.339  0.389  0.853
Zn  0.661  0.611  0.147
H  0.477  0.787  0.792
H  0.523  0.213  0.208
S  0.671  0.322  0.030
S  0.329  0.678  0.970
S  0.644  0.895  0.490
S  0.686  0.316  0.523
S  0.356  0.105  0.510
S  0.314  0.684  0.477

* distance to the lowest polymorph of the same formula: 0.000 kcal/mol of atoms
* E: -36.0 eV per cell